Computed, not measured: a relaxed structure of Dy2SiPt at the GGA-PBE level of DFT.

a = 5.766 Å, b = 4.238 Å, c = 7.863 Å
α = 90.00°, β = 110.53°, γ = 90.00°
Space group P2_1/m (No. 11)
Asymmetric unit:
Dy 0.216 0.250 0.439 [2 per cell]
Dy 0.220 0.250 0.916 [2 per cell]
Si 0.336 0.750 0.209 [2 per cell]
Pt 0.357 0.750 0.714 [2 per cell]

ΔE_f (raw) (eV/atom): -1.036
Crystal system: monoclinic
Fermi-level density of states (states/eV/cell): 2.107